HoTlCu | PBE | optimized geometry

Calculated density, g/cm³: 10.7
Energy relative to the elements, eV/f.u.: -0.28
Raw total energy, eV per atom: -3.772

Cell lengths 3.439, 3.439, 11.344 Å; angles 90.00, 90.00, 90.00 degrees
Space group I4mm (No. 107)
One atom of each set of equivalent atoms:
Ho 0.000 0.000 0.000
Tl 0.000 0.000 0.706
Cu 0.000 0.000 0.354

=====

Ho4TlCu2 | PBE | optimized geometry

Calculated density, g/cm³: 8.9
Energy relative to the elements, eV/f.u.: -0.22
Raw total energy, eV per atom: -4.156
ΔE to the lowest computed polymorph, meV per atom: 96

Cell lengths 4.8324, 4.8324, 27.2936 Å; angles 90.00, 90.00, 120.00 degrees
Space group R-3m (No. 166, hexagonal axes)
One atom of each set of equivalent atoms:
Ho 0.0000 0.0000 0.1149
Ho 0.0000 0.0000 0.2975
Tl 0.0000 0.0000 0.5000
Cu 0.0000 0.0000 0.4000

=====

Ho8Tl2Cu | PBE | optimized geometry

Calculated density, g/cm³: 9.6
Energy relative to the elements, eV/f.u.: -1.44
Raw total energy, eV per atom: -4.263

Cell lengths 18.454, 5.105, 6.708 Å; angles 90.00, 102.01, 90.00 degrees
Space group C2/m (No. 12)
One atom of each set of equivalent atoms:
Ho 0.016 0.000 0.273
Ho 0.091 0.500 0.959
Ho 0.148 0.500 0.479
Ho 0.205 0.000 0.806
Tl 0.187 0.000 0.253
Cu 0.000 0.500 0.500

=====

HoTl2Cu | PBE | optimized geometry

Calculated density, g/cm³: 11.2
Energy relative to the elements, eV/f.u.: -0.19
Raw total energy, eV per atom: -3.398
ΔE to the lowest computed polymorph, meV per atom: 16

Cell lengths 4.5902, 4.5902, 15.5537 Å; angles 90.00, 90.00, 120.00 degrees
Space group R-3m (No. 166, hexagonal axes)
One atom of each set of equivalent atoms:
Ho 0.0000 0.0000 0.0000
Tl 0.0000 0.0000 0.2274
Cu 0.0000 0.0000 0.5000

=====

Ho5TlCu | PBE | optimized geometry

Calculated density, g/cm³: 9.1
Energy relative to the elements, eV/f.u.: -0.02
Raw total energy, eV per atom: -4.196

Cell lengths 11.095, 6.605, 11.315 Å; angles 90.00, 106.94, 90.00 degrees
Space group C2/c (No. 15)
One atom of each set of equivalent atoms:
Ho 0.000 0.030 0.250
Ho 0.131 0.349 0.053
Ho 0.229 0.161 0.640
Tl 0.000 0.450 0.750
Cu 0.000 0.000 0.000

=====

Ho4TlCu2 | PBE | optimized geometry

Calculated density, g/cm³: 9.5
Energy relative to the elements, eV/f.u.: -0.89
Raw total energy, eV per atom: -4.251
ΔE to the lowest computed polymorph, meV per atom: 0

Cell lengths 5.0041, 5.0041, 23.8948 Å; angles 90.00, 90.00, 120.00 degrees
Space group R-3m (No. 166, hexagonal axes)
One atom of each set of equivalent atoms:
Ho 0.0000 0.0000 0.1128
Ho 0.0000 0.0000 0.3671
Tl 0.0000 0.0000 0.5000
Cu 0.0000 0.0000 0.2467

=====

Ho7Tl2Cu2 | PBE | optimized geometry

Calculated density, g/cm³: 9.0
Energy relative to the elements, eV/f.u.: -0.37
Raw total energy, eV per atom: -4.122

Cell lengths 8.020, 11.159, 6.998 Å; angles 90.00, 90.00, 90.00 degrees
Space group Cmmm (No. 65)
One atom of each set of equivalent atoms:
Ho 0.000 0.000 0.000
Ho 0.000 0.500 0.237
Ho 0.250 0.250 0.251
Tl 0.181 0.000 0.500
Cu 0.000 0.295 0.000

=====

Ho11Tl9Cu4 | PBE | optimized geometry

Calculated density, g/cm³: 10.9
Energy relative to the elements, eV/f.u.: -7.66
Raw total energy, eV per atom: -3.987

Cell lengths 14.576, 21.848, 3.734 Å; angles 90.00, 90.00, 90.00 degrees
Space group Cmmm (No. 65)
One atom of each set of equivalent atoms:
Ho 0.000 0.000 0.000
Ho 0.000 0.162 0.000
Ho 0.000 0.372 0.000
Ho 0.193 0.500 0.000
Ho 0.249 0.168 0.000
Tl 0.000 0.500 0.500
Tl 0.110 0.260 0.500
Tl 0.143 0.074 0.500
Cu 0.148 0.402 0.500